First-principles (PBE) data for crystalline LiCa3Pu3N8 at its relaxed geometry, as listed in the Alexandria database.

The structure in extended XYZ format:
```
15
Lattice="3.3931 1.9590 5.5174 -3.3931 1.9590 5.5174 0.0000 -3.9181 5.5174" Properties=species:S:1:pos:R:3 pbc="T T T"
Li 0.0000 0.0000 0.0000
Ca -3.3931 0.0000 8.2761
Ca -1.6966 0.9795 2.7587
Ca 1.6966 0.9795 2.7587
Pu -1.6966 -0.9795 5.5174
Pu -1.6966 0.9795 11.0348
Pu 0.0000 1.9590 5.5174
N 0.0000 -1.8309 6.5705
N -1.5856 0.9155 6.5705
N 0.0000 0.0000 4.2496
N -1.5856 -0.9155 9.9816
N 1.5856 0.9155 6.5705
N 0.0000 0.0000 12.3026
N 1.5856 -0.9155 9.9816
N 0.0000 1.8309 9.9816
```

D(E_F)   13.32 states/eV/cell
ΔE_f (raw)   -12.29 eV per formula unit

***

First-principles (PBE) data for crystalline Li2Ca2PuN4 at its relaxed geometry, as listed in the Alexandria database.

The structure in extended XYZ format:
```
9
Lattice="5.9905 -1.6975 0.0000 5.9905 1.6975 0.0000 -2.4945 0.0000 5.5055" Properties=species:S:1:pos:R:3 pbc="T T T"
Li 0.9778 0.0000 2.6634
Li 8.5087 0.0000 2.8421
Ca 1.9348 0.0000 5.1643
Ca 7.5518 0.0000 0.3412
Pu 4.7433 0.0000 2.7527
N -0.5513 0.0000 1.4694
N 2.8524 0.0000 1.7206
N 6.6342 0.0000 3.7849
N 10.0379 0.0000 4.0360
```

D(E_F)   3.28 states/eV/cell
ΔE_f (raw)   -7.07 eV per formula unit

***

First-principles (PBE) data for crystalline LiCa2ReN at its relaxed geometry, as listed in the Alexandria database.

The structure in extended XYZ format:
```
5
Lattice="5.1251 0.0000 0.0000 0.0000 5.1251 0.0000 0.0000 0.0000 3.8681" Properties=species:S:1:pos:R:3 pbc="T T T"
Li 0.0000 0.0000 0.0000
Ca 0.0000 2.5625 1.9340
Ca 2.5625 0.0000 1.9340
Re 2.5625 2.5625 0.0000
N 2.5625 2.5625 1.9340
```

D(E_F)   2.79 states/eV/cell
ΔE_f (raw)   -0.93 eV per formula unit

***

First-principles (PBE) data for crystalline LiCaReN3 at its relaxed geometry, as listed in the Alexandria database.

The structure in extended XYZ format:
```
12
Lattice="4.2494 -3.4954 0.0000 4.2494 3.4954 0.0000 -3.3330 0.0000 6.4310" Properties=species:S:1:pos:R:3 pbc="T T T"
Li 4.2494 2.3230 0.0000
Li 4.2494 -2.3230 0.0000
Ca -0.8194 0.0000 4.8646
Ca 5.9852 0.0000 1.5663
Re 2.8718 0.0000 1.8494
Re 2.2940 0.0000 4.5816
N 1.6005 0.0000 0.5653
N 1.2434 1.4346 4.6667
N 3.9224 1.4346 1.7642
N 1.2434 -1.4346 4.6667
N 3.9224 -1.4346 1.7642
N 3.5653 0.0000 5.8657
```

D(E_F)   0.00 states/eV/cell
ΔE_f (raw)   -2.35 eV per formula unit

***

First-principles (PBE) data for crystalline LiCaRhN2 at its relaxed geometry, as listed in the Alexandria database.

The structure in extended XYZ format:
```
5
Lattice="3.9781 0.0000 0.0000 0.0000 3.9781 0.0000 0.0000 0.0000 3.9814" Properties=species:S:1:pos:R:3 pbc="T T T"
Li 0.0000 0.0000 0.0000
Ca 1.9891 1.9891 1.9907
Rh 0.0000 0.0000 1.9907
N 0.0000 1.9891 0.0000
N 1.9891 0.0000 0.0000
```

D(E_F)   3.41 states/eV/cell
ΔE_f (raw)   4.94 eV per formula unit

***

First-principles (PBE) data for crystalline LiCa2RuN at its relaxed geometry, as listed in the Alexandria database.

The structure in extended XYZ format:
```
5
Lattice="5.0977 0.0000 0.0000 0.0000 5.0977 0.0000 0.0000 0.0000 3.8259" Properties=species:S:1:pos:R:3 pbc="T T T"
Li 0.0000 0.0000 0.0000
Ca 0.0000 2.5489 1.9129
Ca 2.5489 0.0000 1.9129
Ru 2.5489 2.5489 0.0000
N 2.5489 2.5489 1.9129
```

D(E_F)   2.63 states/eV/cell
ΔE_f (raw)   -1.77 eV per formula unit